1.
## La4IrCl5 (PBE)

Data for La4IrCl5 after structural relaxation.

Values from the calculation:
Magnetic moment in μB per formula unit: 0.0

a b c (Å): 9.699 9.699 8.607
angles (deg): 107.44 107.44 24.95
Fractional coordinates of all 10 atoms:
La 0.003 0.003 0.278
La 0.341 0.341 0.377
La 0.659 0.659 0.623
La 0.997 0.997 0.722
Ir 0.500 0.500 0.500
Cl 0.167 0.167 0.860
Cl 0.174 0.174 0.386
Cl 0.500 0.500 0.000
Cl 0.826 0.826 0.614
Cl 0.833 0.833 0.140

=====

2.
## La3IrCl3 (PBE)

Data for La3IrCl3 after structural relaxation.

Values from the calculation:
Magnetic moment in μB per formula unit: 0.0

a b c (Å): 10.437 10.437 10.437
angles (deg): 109.47 109.47 109.47
Fractional coordinates of all 28 atoms:
La 0.012 0.024 0.262
La 0.012 0.488 0.750
La 0.024 0.262 0.012
La 0.238 0.262 0.750
La 0.238 0.476 0.488
La 0.262 0.012 0.024
La 0.262 0.750 0.238
La 0.476 0.488 0.238
La 0.488 0.238 0.476
La 0.488 0.750 0.012
La 0.750 0.012 0.488
La 0.750 0.238 0.262
Ir 0.000 0.250 0.500
Ir 0.250 0.250 0.250
Ir 0.250 0.500 0.000
Ir 0.500 0.000 0.250
Cl 0.001 0.002 0.751
Cl 0.001 0.499 0.250
Cl 0.002 0.751 0.001
Cl 0.250 0.001 0.499
Cl 0.250 0.749 0.751
Cl 0.498 0.499 0.749
Cl 0.499 0.250 0.001
Cl 0.499 0.749 0.498
Cl 0.749 0.498 0.499
Cl 0.749 0.751 0.250
Cl 0.751 0.001 0.002
Cl 0.751 0.250 0.749

=====

3.
## LaIrCl (PBE)

Data for LaIrCl after structural relaxation.

Values from the calculation:
Magnetic moment in μB per formula unit: 0.0
Distance to the lowest polymorph of the same formula in meV/atom: 184

a b c (Å): 7.598 7.598 4.901
angles (deg): 90.00 90.00 147.55
Fractional coordinates of all 6 atoms:
La 0.114 0.886 0.750
La 0.886 0.114 0.250
Ir 0.484 0.516 0.750
Ir 0.516 0.484 0.250
Cl 0.231 0.769 0.250
Cl 0.769 0.231 0.750

=====

4.
## LaIrCl (PBE)

Data for LaIrCl after structural relaxation.

Values from the calculation:
Magnetic moment in μB per formula unit: 0.8
Distance to the lowest polymorph of the same formula in meV/atom: 1239

a b c (Å): 4.654 4.654 4.654
angles (deg): 60.00 60.00 60.00
Fractional coordinates of all 3 atoms:
La 0.000 0.000 0.000
Ir 0.500 0.500 0.500
Cl 0.250 0.250 0.250

=====

no.,ΔE_f (raw) (eV per atom)
1,-1.82
2,-1.71
3,-1.30
4,-0.25